The following is a PBE-GGA calculation of MnB2RuPb after structural relaxation, from Alexandria via LeMat-Bulk.

Cell lengths 4.082, 5.078, 4.082 Å; angles 90.00, 90.00, 90.00 degrees
Last column: magnetic moment on the atom in μB.
Fractional positions:
Pb  0.500  0.500  0.500  -0.12
Ru  0.000  0.000  0.000  -0.11
B  0.500  0.000  0.000  0.01
B  0.000  0.000  0.500  -0.03
Mn  0.000  0.500  0.000  3.69

## Properties
crystal system = tetragonal
volume = 16.92 A^3/atom
total energy = -6.258 eV/atom
theoretical density = 7.55 g/cm3
energy of formation = 0.844 eV per atom